Entry 1:
First-principles (PBE) data for a geometry-optimized HoSi6Pt12 structure, as listed in Alexandria via LeMat-Bulk.

- uncorrected formation energy (kcal/mol of atoms) = -14.60

Cell lengths 11.5025, 11.5025, 8.1164 Å; angles 90.00, 90.00, 120.00 degrees
Space group R-3m (No. 166, hexagonal axes)
One atom of each set of equivalent atoms:
Ho 0.0000 0.0000 0.0000 [3 per cell]
Si 0.0458 0.5229 0.2630 [18 per cell]
Pt 0.0000 0.3745 0.5000 [18 per cell]
Pt 0.0817 0.1634 0.3262 [18 per cell]


Entry 2:
First-principles (PBE) data for a geometry-optimized TeRu3C structure, as listed in Alexandria via LeMat-Bulk.

- uncorrected formation energy (kcal/mol of atoms) = 66.51

Cell lengths 4.842, 4.842, 4.842 Å; angles 90.00, 90.00, 90.00 degrees
Space group Pm-3m (No. 221)
One atom of each set of equivalent atoms:
Te 0.000 0.000 0.000 [1 per cell]
Ru 0.000 0.000 0.500 [3 per cell]
C 0.500 0.500 0.500 [1 per cell]


Question: Among the records above, which one has the lowest uncorrected formation energy?
Answer: HoSi6Pt12


Question: The lowest uncorrected formation energy belongs to which entry?
Answer: HoSi6Pt12